Entry 1:
Material: ScSeI3
Method: DFT, PBE-GGA
State: relaxed

a b c (Å): 5.738 5.738 5.738
angles (deg): 90.00 90.00 90.00
Space group Pm-3m (No. 221)
Unique sites:
Sc  0.000  0.000  0.000 x1
Se  0.500  0.500  0.500 x1
I  0.000  0.000  0.500 x3

ΔE_f (raw): -365 meV per atom
Fermi-level density of states: 3.0 states/eV/f.u.
ΔE to the lowest computed polymorph: 0 meV/atom



Entry 2:
Material: ZrPaSn2
Method: DFT, PBE-GGA
State: relaxed

a b c (Å): 3.3000 3.3000 30.8825
angles (deg): 90.00 90.00 120.00
Space group R-3m (No. 166, hexagonal axes)
Unique sites:
Zr  0.0000  0.0000  0.0000 x3
Pa  0.0000  0.0000  0.5000 x3
Sn  0.0000  0.0000  0.2544 x6

Fermi-level density of states: 4.3 states/eV/f.u.
ΔE to the lowest computed polymorph: 44 meV/atom
formation enthalpy at 0 K: -0.234 eV/atom



Entry 3:
Material: LiCd8
Method: DFT, PBE-GGA
State: relaxed

a b c (Å): 11.582 11.582 2.994
angles (deg): 90.00 90.00 90.00
Space group I4/mmm (No. 139)
Unique sites:
Li  0.000  0.000  0.000 x2
Cd  0.000  0.333  0.000 x8
Cd  0.161  0.161  0.500 x8

Fermi-level density of states: 3.5 states/eV/f.u.
ΔE to the lowest computed polymorph: 34 meV/atom
formation enthalpy at 0 K: -0.031 eV/atom



Entry 4:
Material: TcNiP2Se
Method: DFT, PBE-GGA
State: relaxed

a b c (Å): 7.844 3.176 6.238
angles (deg): 90.00 100.76 90.00
Space group Cm (No. 8)
Unique sites:
Tc  0.000  0.000  0.000 x2
Ni  0.221  0.000  0.432 x2
P  0.230  0.500  0.169 x2
P  0.274  0.000  0.854 x2
Se  0.455  0.500  0.571 x2

ΔE_f (raw): -150 meV per atom
Fermi-level density of states: 3.1 states/eV/f.u.
ΔE to the lowest computed polymorph: 140 meV/atom



Entry 5:
Material: Li2FeMo2
Method: DFT, PBE-GGA
State: relaxed

a b c (Å): 5.446 5.446 4.239
angles (deg): 90.00 90.00 90.00
Space group P4/mbm (No. 127)
Unique sites:
Li  0.116  0.384  0.000 x4
Fe  0.000  0.000  0.000 x2
Mo  0.210  0.710  0.500 x4

Fermi-level density of states: 6.4 states/eV/f.u.
ΔE to the lowest computed polymorph: 0 meV/atom
formation enthalpy at 0 K: 0.770 eV/atom



Entry 6:
Material: KZnCu2
Method: DFT, PBE-GGA
State: relaxed

a b c (Å): 2.9338 2.9338 28.7454
angles (deg): 90.00 90.00 120.00
Space group R3m (No. 160, hexagonal axes)
Unique sites:
K  0.0000  0.0000  0.0000 x3
Zn  0.0000  0.0000  0.2296 x3
Cu  0.0000  0.0000  0.4932 x3
Cu  0.0000  0.0000  0.7619 x3

Fermi-level density of states: 0.9 states/eV/f.u.
formation enthalpy at 0 K: 0.471 eV/atom



Entry 7:
Material: RuI2BrCl
Method: DFT, PBE-GGA
State: relaxed

a b c (Å): 5.715 5.715 5.217
angles (deg): 90.00 90.00 90.00
Space group P4/mmm (No. 123)
Unique sites:
Ru  0.000  0.000  0.000 x1
I  0.000  0.500  0.500 x2
Br  0.500  0.500  0.000 x1
Cl  0.500  0.500  0.500 x1

ΔE_f (raw): 1172 meV per atom
Fermi-level density of states: 2.1 states/eV/f.u.



Entry 8:
Material: UAgPtAu
Method: DFT, PBE-GGA
State: relaxed

a b c (Å): 6.841 6.841 6.841
angles (deg): 90.00 90.00 90.00
Space group F-43m (No. 216)
Unique sites:
U  0.000  0.000  0.000 x4
Ag  0.000  0.000  0.500 x4
Pt  0.250  0.250  0.250 x4
Au  0.250  0.250  0.750 x4

Fermi-level density of states: 7.4 states/eV/f.u.
formation enthalpy at 0 K: -0.244 eV/atom



Entry 9:
Material: Sm2Ho2Hg
Method: DFT, PBE-GGA
State: relaxed

a b c (Å): 5.118 5.118 24.582
angles (deg): 90.00 90.00 90.00
Space group I4_1/amd (No. 141, origin choice 2)
Unique sites:
Sm  0.000  0.250  0.047 x8
Ho  0.000  0.250  0.196 x8
Hg  0.000  0.250  0.875 x4

Fermi-level density of states: 8.3 states/eV/f.u.
ΔE to the lowest computed polymorph: 137 meV/atom
formation enthalpy at 0 K: -0.043 eV/atom



Entry 10:
Material: CaPaPtO5
Method: DFT, PBE-GGA
State: relaxed

a b c (Å): 6.583 9.856 8.075
angles (deg): 90.00 106.24 90.00
Space group C2/c (No. 15)
Unique sites:
Ca  0.000  0.187  0.250 x4
Pa  0.000  0.500  0.000 x4
Pt  0.000  0.146  0.750 x4
O  0.000  0.418  0.250 x4
O  0.011  0.290  0.928 x8
O  0.152  0.004  0.407 x8

ΔE_f (raw): -2265 meV per atom
Fermi-level density of states: 4.2 states/eV/f.u.



Entry 11:
Material: K3Sm3UO8
Method: DFT, PBE-GGA
State: relaxed

a b c (Å): 7.1321 7.1321 19.1143
angles (deg): 90.00 90.00 120.00
Space group R-3m (No. 166, hexagonal axes)
Unique sites:
K  0.0000  0.5000  0.0000 x9
Sm  0.0000  0.5000  0.5000 x9
U  0.0000  0.0000  0.5000 x3
O  0.0000  0.0000  0.2285 x6
O  0.0186  0.5093  0.2256 x18

ΔE_f (raw): -2762 meV per atom
Fermi-level density of states: 7.6 states/eV/f.u.



Entry 12:
Material: SrTmZrN3
Method: DFT, PBE-GGA
State: relaxed

a b c (Å): 5.880 3.509 8.982
angles (deg): 90.00 101.78 90.00
Space group P2_1/m (No. 11)
Unique sites:
Sr  0.151  0.250  0.191 x2
Tm  0.363  0.250  0.856 x2
Zr  0.260  0.750  0.534 x2
N  0.058  0.250  0.636 x2
N  0.272  0.750  0.982 x2
N  0.474  0.750  0.365 x2

ΔE_f (raw): -1324 meV per atom



Entry 13:
Material: Ga2Sn2Bi
Method: DFT, PBE-GGA
State: relaxed

a b c (Å): 8.778 8.778 3.328
angles (deg): 90.00 90.00 90.00
Space group P4/mbm (No. 127)
Unique sites:
Ga  0.138  0.362  0.000 x4
Sn  0.156  0.656  0.500 x4
Bi  0.000  0.000  0.500 x2

Fermi-level density of states: 2.4 states/eV/f.u.
ΔE to the lowest computed polymorph: 0 meV/atom
formation enthalpy at 0 K: 0.064 eV/atom



Entry 14:
Material: Mg3Zn4Cu4
Method: DFT, PBE-GGA
State: relaxed

a b c (Å): 7.336 7.336 7.336
angles (deg): 90.00 90.00 90.00
Space group I-43m (No. 217)
Unique sites:
Mg  0.000  0.000  0.500 x6
Zn  0.128  0.128  0.128 x8
Cu  0.192  0.192  0.808 x8

Fermi-level density of states: 0.9 states/eV/f.u.
formation enthalpy at 0 K: 0.100 eV/atom



Entry 15:
Material: ErLuFeNi
Method: DFT, PBE-GGA
State: relaxed

a b c (Å): 6.582 6.582 6.582
angles (deg): 90.00 90.00 90.00
Space group F-43m (No. 216)
Unique sites:
Er  0.000  0.000  0.000 x4
Lu  0.000  0.000  0.500 x4
Fe  0.250  0.250  0.750 x4
Ni  0.250  0.250  0.250 x4

Fermi-level density of states: 2.1 states/eV/f.u.
formation enthalpy at 0 K: -0.160 eV/atom



Entry 16:
Material: KSrRu2
Method: DFT, PBE-GGA
State: relaxed

a b c (Å): 4.133 4.133 7.257
angles (deg): 90.00 90.00 90.00
Space group P4/mmm (No. 123)
Unique sites:
K  0.000  0.000  0.000 x1
Sr  0.000  0.000  0.500 x1
Ru  0.500  0.500  0.347 x2

Fermi-level density of states: 5.1 states/eV/f.u.
ΔE to the lowest computed polymorph: 668 meV/atom
formation enthalpy at 0 K: 1.071 eV/atom



Entry 17:
Material: ZnInAu14
Method: DFT, PBE-GGA
State: relaxed

a b c (Å): 9.415 6.461 9.579
angles (deg): 90.00 90.00 90.00
Space group Amm2 (No. 38)
Unique sites:
Zn  0.000  0.000  0.000 x2
In  0.000  0.000  0.515 x2
Au  0.000  0.238  0.257 x4
Au  0.243  0.000  0.817 x4
Au  0.244  0.236  0.071 x8
Au  0.254  0.000  0.329 x4
Au  0.500  0.000  0.145 x2
Au  0.500  0.000  0.636 x2
Au  0.500  0.240  0.891 x4

Fermi-level density of states: 5.5 states/eV/f.u.
formation enthalpy at 0 K: -0.035 eV/atom



Entry 18:
Material: Pu2Ga3CuNi4
Method: DFT, PBE-GGA
State: relaxed

a b c (Å): 3.856 3.856 10.871
angles (deg): 90.00 90.00 90.00
Space group P-4m2 (No. 115)
Unique sites:
Pu  0.000  0.500  0.238 x2
Ga  0.000  0.000  0.000 x1
Ga  0.000  0.500  0.630 x2
Cu  0.500  0.500  0.000 x1
Ni  0.000  0.000  0.500 x1
Ni  0.000  0.500  0.854 x2
Ni  0.500  0.500  0.500 x1

Fermi-level density of states: 25.6 states/eV/f.u.
formation enthalpy at 0 K: -0.303 eV/atom



Entry 19:
Material: TaCd2Co
Method: DFT, PBE-GGA
State: relaxed

a b c (Å): 3.935 3.935 8.966
angles (deg): 90.00 90.00 90.00
Space group I4/mmm (No. 139)
Unique sites:
Ta  0.000  0.000  0.000 x2
Cd  0.000  0.500  0.250 x4
Co  0.000  0.000  0.500 x2

Fermi-level density of states: 3.3 states/eV/f.u.
ΔE to the lowest computed polymorph: 431 meV/atom
formation enthalpy at 0 K: 0.503 eV/atom



Entry 20:
Material: Dy3TiFe8
Method: DFT, PBE-GGA
State: relaxed

a b c (Å): 5.0503 5.0503 24.7678
angles (deg): 90.00 90.00 120.00
Space group R3m (No. 160, hexagonal axes)
Unique sites:
Dy  0.0000  0.0000  0.0000 x3
Dy  0.0000  0.0000  0.1263 x3
Dy  0.0000  0.0000  0.5038 x3
Ti  0.0000  0.0000  0.6271 x3
Fe  0.0000  0.0000  0.3135 x3
Fe  0.0000  0.0000  0.8142 x3
Fe  0.0010  0.5005  0.5664 x9
Fe  0.1683  0.3366  0.3947 x9

Fermi-level density of states: 13.1 states/eV/f.u.
formation enthalpy at 0 K: -0.113 eV/atom



Entry 21:
Material: La2ZrRe
Method: DFT, PBE-GGA
State: relaxed

a b c (Å): 5.147 5.147 3.764
angles (deg): 90.00 90.00 90.00
Space group P4/mmm (No. 123)
Unique sites:
La  0.000  0.500  0.000 x2
Zr  0.000  0.000  0.500 x1
Re  0.500  0.500  0.500 x1

Fermi-level density of states: 6.7 states/eV/f.u.
ΔE to the lowest computed polymorph: 442 meV/atom
formation enthalpy at 0 K: 0.549 eV/atom



Entry 22:
Material: NaTaCdO4
Method: DFT, PBE-GGA
State: relaxed

a b c (Å): 6.323 6.193 6.588
angles (deg): 90.00 91.65 90.00
Space group P2_1/m (No. 11)
Unique sites:
Na  0.188  0.250  0.384 x2
Ta  0.153  0.750  0.130 x2
Cd  0.365  0.250  0.927 x2
O  0.067  0.750  0.866 x2
O  0.091  0.250  0.710 x2
O  0.344  0.514  0.173 x4

ΔE_f (raw): -2010 meV per atom
Fermi-level density of states: 0.0 states/eV/f.u.



Entry 23:
Material: Zn8CuIr2
Method: DFT, PBE-GGA
State: relaxed

a b c (Å): 4.211 7.319 10.601
angles (deg): 90.00 90.00 90.00
Space group Immm (No. 71)
Unique sites:
Zn  0.000  0.000  0.131 x4
Zn  0.000  0.200  0.348 x8
Zn  0.000  0.326  0.000 x4
Cu  0.000  0.500  0.500 x2
Ir  0.000  0.500  0.218 x4

Fermi-level density of states: 4.6 states/eV/f.u.
ΔE to the lowest computed polymorph: 0 meV/atom
formation enthalpy at 0 K: -0.121 eV/atom



Respective total magnetization values: 2.00, 0.00, 0.00, 0.00, 0.00, 0.00, 3.30, 2.07, 0.01, 1.04, 2.00, 0.00, 0.00, 0.00, 0.01, 0.82, 0.00, 10.66, 1.42, 12.78, 0.00, 0.00, 0.00 μB per formula unit.